Entry 1:
Entry from OQMD via LeMat-Bulk: a relaxed structure of ErTeP (PBE).

Lattice parameters (Å, degrees): 9.6056 9.6056 9.6056 27.70 27.70 27.70
Sites, in units of the cell vectors:
P 0.2092 0.2092 0.2092
Er 0.8901 0.8901 0.8901
Te 0.3729 0.3729 0.3729
Er 0.1099 0.1099 0.1099
Te 0.6271 0.6271 0.6271
P 0.7908 0.7908 0.7908

Computed properties:
Volume   28.18 Å³ per atom
Total energy   -4.964 eV per atom

---

Entry 2:
Entry from OQMD via LeMat-Bulk: a relaxed structure of Er2TmP3 (PBE).

Lattice parameters (Å, degrees): 3.9581 3.9581 9.7067 90.00 90.00 120.00
Sites, in units of the cell vectors:
P 0.0000 0.0000 0.0000
Er 0.3333 0.6667 0.8331
P 0.3333 0.6667 0.3341
Er 0.6667 0.3333 0.1669
Tm 0.0000 0.0000 0.5000
P 0.6667 0.3333 0.6659

Computed properties:
Volume   21.95 Å³ per atom
Total energy   -6.582 eV per atom

---

Entry 3:
Entry from OQMD via LeMat-Bulk: a relaxed structure of ErTmP2 (PBE).

Lattice parameters (Å, degrees): 3.9564 3.9564 5.5950 90.00 90.00 90.00
Sites, in units of the cell vectors:
P 0.5000 0.5000 0.0000
Tm 0.5000 0.5000 0.5000
Er 0.0000 0.0000 0.0000
P 0.0000 0.0000 0.5000

Computed properties:
Volume   21.89 Å³ per atom
Total energy   -6.573 eV per atom

---

Entry 4:
Entry from OQMD via LeMat-Bulk: a relaxed structure of Er2ZrP3 (PBE).

Lattice parameters (Å, degrees): 3.8725 3.8725 9.5659 90.00 90.00 120.00
Sites, in units of the cell vectors:
Er 0.3333 0.6667 0.8291
Er 0.6667 0.3333 0.1709
P 0.0000 0.0000 0.0000
P 0.6667 0.3333 0.6569
P 0.3333 0.6667 0.3431
Zr 0.0000 0.0000 0.5000

Computed properties:
Volume   20.71 Å³ per atom
Total energy   -7.182 eV per atom